CdAs2Ru: optimized geometry, GGA-PBE.

abc: 3.019 3.019 29.280
angles: 90.00 90.00 120.00
Sites, in units of the cell vectors:
Cd 0.000 0.000 0.000
Cd 0.333 0.667 0.667
Cd 0.667 0.333 0.333
As 0.000 0.000 0.231
As 0.000 0.000 0.769
As 0.333 0.667 0.436
As 0.333 0.667 0.897
As 0.667 0.333 0.103
As 0.667 0.333 0.564
Ru 0.000 0.000 0.500
Ru 0.333 0.667 0.167
Ru 0.667 0.333 0.833

Computed properties:
Theoretical density, g/cm³: 7.83
N(E_F), states/eV/f.u.: 1.2
Energy, eV per atom: -4.906
Calculated formation energy, eV per atom: -0.03

***

La2SmYHo: optimized geometry, GGA-PBE.

abc: 7.264 7.264 7.339
angles: 90.00 90.00 108.62
Sites, in units of the cell vectors:
La 0.196 0.196 0.000
La 0.196 0.196 0.500
La 0.804 0.804 0.000
La 0.804 0.804 0.500
Sm 0.215 0.785 0.750
Sm 0.785 0.215 0.250
Y 0.250 0.750 0.250
Y 0.750 0.250 0.750
Ho 0.475 0.525 0.750
Ho 0.525 0.475 0.250

Computed properties:
Theoretical density, g/cm³: 6.17
N(E_F), states/eV/f.u.: 6.6
Energy, eV per atom: -4.734
Calculated formation energy, eV per atom: 0.39

***

LaPm3Sm6Dy2: optimized geometry, GGA-PBE.

abc: 6.289 6.289 12.063
angles: 95.00 95.00 119.98
Sites, in units of the cell vectors:
La 0.000 0.000 0.000
Pm 0.167 0.833 0.500
Pm 0.500 0.500 0.500
Pm 0.833 0.167 0.500
Sm 0.084 0.418 0.249
Sm 0.251 0.251 0.750
Sm 0.418 0.084 0.249
Sm 0.582 0.916 0.751
Sm 0.749 0.749 0.250
Sm 0.916 0.582 0.751
Dy 0.333 0.667 0.000
Dy 0.667 0.333 0.000

Computed properties:
Theoretical density, g/cm³: 7.35
N(E_F), states/eV/f.u.: 17.5
Energy, eV per atom: -4.708
Calculated formation energy, eV per atom: 0.02

***

Zn8Cu6Au: optimized geometry, GGA-PBE.

abc: 9.221 9.221 3.005
angles: 90.00 90.00 120.00
Sites, in units of the cell vectors:
Zn 0.071 0.308 0.242
Zn 0.237 0.929 0.242
Zn 0.308 0.237 0.758
Zn 0.333 0.667 0.753
Zn 0.667 0.333 0.247
Zn 0.692 0.763 0.242
Zn 0.763 0.071 0.758
Zn 0.929 0.692 0.758
Cu 0.100 0.611 0.252
Cu 0.389 0.488 0.252
Cu 0.488 0.100 0.748
Cu 0.512 0.900 0.252
Cu 0.611 0.512 0.748
Cu 0.900 0.389 0.748
Au 0.000 0.000 0.500

Computed properties:
Theoretical density, g/cm³: 8.27
N(E_F), states/eV/f.u.: 3.0
Energy, eV per atom: -2.497
E above lowest polymorph, meV per atom: 52.3
Calculated formation energy, eV per atom: 0.04

***

Ba3LiTi5Nb3O21: optimized geometry, GGA-PBE.

abc: 9.240 9.240 11.707
angles: 90.00 90.00 59.69
Sites, in units of the cell vectors:
Ba 0.098 0.902 0.500
Ba 0.100 0.494 0.001
Ba 0.494 0.100 0.501
Ba 0.506 0.900 0.001
Ba 0.900 0.506 0.501
Ba 0.902 0.098 0.000
Li 0.489 0.511 0.467
Li 0.511 0.489 0.967
Ti 0.246 0.494 0.347
Ti 0.250 0.499 0.663
Ti 0.251 0.749 0.837
Ti 0.494 0.246 0.847
Ti 0.499 0.250 0.163
Ti 0.501 0.750 0.663
Ti 0.506 0.754 0.347
Ti 0.749 0.251 0.337
Ti 0.750 0.501 0.163
Ti 0.754 0.506 0.847
Nb 0.164 0.167 0.254
Nb 0.167 0.164 0.754
Nb 0.263 0.737 0.163
Nb 0.737 0.263 0.663
Nb 0.833 0.836 0.254
Nb 0.836 0.833 0.754
O 0.017 0.820 0.153
O 0.020 0.665 0.653
O 0.021 0.671 0.356
O 0.022 0.810 0.856
O 0.180 0.983 0.153
O 0.186 0.329 0.360
O 0.186 0.332 0.656
O 0.190 0.978 0.856
O 0.284 0.503 0.180
O 0.291 0.709 0.679
O 0.299 0.495 0.505
O 0.302 0.497 0.825
O 0.309 0.691 0.003
O 0.313 0.687 0.332
O 0.329 0.186 0.860
O 0.329 0.979 0.356
O 0.332 0.186 0.156
O 0.335 0.980 0.653
O 0.495 0.299 0.005
O 0.497 0.302 0.325
O 0.497 0.716 0.180
O 0.503 0.284 0.680
O 0.503 0.698 0.825
O 0.505 0.701 0.505
O 0.665 0.020 0.153
O 0.668 0.814 0.656
O 0.671 0.021 0.856
O 0.671 0.814 0.360
O 0.687 0.313 0.832
O 0.691 0.309 0.503
O 0.698 0.503 0.325
O 0.701 0.505 0.005
O 0.709 0.291 0.179
O 0.716 0.497 0.680
O 0.810 0.022 0.356
O 0.814 0.668 0.156
O 0.814 0.671 0.860
O 0.820 0.017 0.653
O 0.978 0.190 0.356
O 0.979 0.329 0.856
O 0.980 0.335 0.153
O 0.983 0.180 0.653

Computed properties:
Theoretical density, g/cm³: 4.90
N(E_F), states/eV/f.u.: 0.0
Energy, eV per atom: -8.402
Formation energy from raw total energies, eV per atom: -2.903

***

Cu3ReSe: optimized geometry, GGA-PBE.

abc: 4.673 4.673 4.673
angles: 90.00 90.00 90.00
Sites, in units of the cell vectors:
Cu 0.000 0.000 0.500
Cu 0.000 0.500 0.000
Cu 0.500 0.000 0.000
Re 0.000 0.000 0.000
Se 0.500 0.500 0.500

Computed properties:
Theoretical density, g/cm³: 7.42
N(E_F), states/eV/f.u.: 4.7
Energy, eV per atom: -4.098
E above lowest polymorph, meV per atom: 200.4
Formation energy from raw total energies, eV per atom: 1.547

***

SrZrPd3: optimized geometry, GGA-PBE.

abc: 5.048 5.048 5.048
angles: 90.00 90.00 90.00
Sites, in units of the cell vectors:
Sr 0.000 0.000 0.000
Zr 0.500 0.500 0.500
Pd 0.000 0.500 0.500
Pd 0.500 0.000 0.500
Pd 0.500 0.500 0.000

Computed properties:
Theoretical density, g/cm³: 6.43
N(E_F), states/eV/f.u.: 3.4
Energy, eV per atom: -5.249
E above lowest polymorph, meV per atom: 0.0
Calculated formation energy, eV per atom: -0.09

***

Sc2BeW: optimized geometry, GGA-PBE.

abc: 3.476 4.384 9.085
angles: 90.00 90.00 90.00
Sites, in units of the cell vectors:
Sc 0.000 0.000 0.000
Sc 0.000 0.500 0.214
Sc 0.500 0.000 0.714
Sc 0.500 0.500 0.500
Be 0.000 0.000 0.471
Be 0.500 0.500 0.971
W 0.000 0.500 0.787
W 0.500 0.000 0.287

Computed properties:
Theoretical density, g/cm³: 6.78
N(E_F), states/eV/f.u.: 2.1
Energy, eV per atom: -7.144
Calculated formation energy, eV per atom: 0.19